No. 1
8
Lattice="-2.672 1.672 -2.455 -2.371 -3.190 0.409 -2.847 2.754 4.975" Properties=species:S:1:pos:R:3 comment="PBE TcAsOsO, relaxed" spacegroup="P4/nmm (129)" e_tot_ha_per_atom=-0.286 pbc="T T T"
Tc -3.555 0.697 4.345
As -1.940 -0.865 1.522
O 0.000 0.000 0.000
Os -1.424 1.377 2.488
Os -3.945 0.618 1.465
Tc -1.814 1.298 -0.393
O -2.522 -0.759 -1.023
As -3.429 2.860 2.430

=====

No. 2
16
Lattice="2.819 0.000 0.000 -1.410 2.442 0.000 0.000 0.000 25.813" Properties=species:S:1:pos:R:3 comment="PBE NiMo4N3, relaxed" spacegroup="P6_3/mmc (194)" e_tot_ha_per_atom=-0.340 pbc="T T T"
Mo 0.000 0.000 4.346
Mo 1.410 0.814 24.350
N 0.000 1.628 15.851
Mo 0.000 0.000 21.467
Mo 1.410 0.814 14.370
Mo 0.000 0.000 17.253
Ni 0.000 1.628 6.453
N 0.000 0.000 0.000
Ni 1.410 0.814 19.360
Mo 0.000 1.628 1.463
N 1.410 0.814 9.962
Mo 0.000 0.000 8.560
N 0.000 1.628 22.869
N 1.410 0.814 2.944
N 0.000 0.000 12.906
Mo 0.000 1.628 11.443

=====

No. 3
12
Lattice="8.247 0.000 0.000 0.000 4.108 0.000 -3.342 0.000 10.023" Properties=species:S:1:pos:R:3 comment="PBE YZnInSe3, relaxed" spacegroup="P2_1/m (11)" e_tot_ha_per_atom=-0.167 pbc="T T T"
Se 5.789 3.081 0.611
In 3.722 1.027 7.897
Se -0.758 1.027 3.580
Se -0.884 1.027 9.412
Zn 0.524 3.081 8.933
In 1.182 3.081 2.126
Y 5.463 3.081 3.612
Se 3.475 1.027 3.379
Se 5.663 3.081 6.443
Y -0.558 1.027 6.410
Zn 4.381 1.027 1.090
Se 1.430 3.081 6.644

=====

No. 4
3
Lattice="0.000 3.536 3.536 3.536 0.000 3.536 3.536 3.536 0.000" Properties=species:S:1:pos:R:3 comment="PBE CsCoSn, relaxed" spacegroup="F-43m (216)" e_tot_ha_per_atom=-0.112 pbc="T T T"
Cs 1.768 1.768 1.768
Co 0.000 0.000 0.000
Sn 5.304 5.304 5.304

=====

No. 5
8
Lattice="-2.437 -4.182 5.406 5.579 -0.724 1.955 3.847 2.589 3.737" Properties=species:S:1:pos:R:3 comment="PBE Sr2Ga4NiIr, relaxed" spacegroup="Amm2 (38)" e_tot_ha_per_atom=-0.156 pbc="T T T"
Ga 5.559 -0.069 5.531
Ir 7.374 1.459 4.453
Ga 1.127 -2.735 6.180
Ga 4.662 -1.608 7.520
Sr 0.528 0.104 0.319
Sr 7.717 -0.323 8.100
Ni 0.836 -1.684 3.944
Ga 2.587 -0.229 2.941

=====

No. 6
4
Lattice="0.346 -5.206 2.354 -4.583 -2.303 2.540 -2.698 -4.425 -2.430" Properties=species:S:1:pos:R:3 comment="PBE BaCdTe2, relaxed" spacegroup="F-43m (216)" e_tot_ha_per_atom=-0.103 pbc="T T T"
Te -5.201 -8.951 1.849
Ba -3.467 -5.967 1.232
Te 0.000 0.000 0.000
Cd -1.734 -2.984 0.616

=====

No. 7
3
Lattice="0.000 3.334 3.334 3.334 0.000 3.334 3.334 3.334 0.000" Properties=species:S:1:pos:R:3 comment="PBE AcZnRe, relaxed" spacegroup="F-43m (216)" ef_kcal_per_mol_atoms=20.27 e_tot_ha_per_atom=-0.186 pbc="T T T"
Ac 1.667 1.667 1.667
Re 5.001 5.001 5.001
Zn 0.000 0.000 0.000

=====

No. 8
5
Lattice="4.551 0.000 0.000 0.000 4.551 0.000 0.000 0.000 4.551" Properties=species:S:1:pos:R:3 comment="PBE Na3AuO, relaxed" spacegroup="Pm-3m (221)" e_tot_ha_per_atom=-0.120 pbc="T T T"
Na 2.276 0.000 2.276
O 2.276 2.276 2.276
Na 2.276 2.276 0.000
Na 0.000 2.276 2.276
Au 0.000 0.000 0.000

=====

No. 9
8
Lattice="-2.028 1.774 -2.779 -3.135 -0.027 2.270 2.366 7.966 3.360" Properties=species:S:1:pos:R:3 comment="PBE AgGeSO, relaxed" spacegroup="P4/nmm (129)" e_tot_ha_per_atom=-0.152 pbc="T T T"
Ge -2.858 0.424 1.008
S -2.255 6.757 1.915
S -0.542 2.957 0.936
Ag -3.290 3.271 0.445
Ge -2.305 1.324 -1.517
O -0.145 4.296 1.500
O -2.652 5.418 1.351
Ag 0.493 6.443 2.406

=====

No. 10
16
Lattice="4.034 -5.770 0.000 4.034 5.770 0.000 -2.930 0.000 5.110" Properties=species:S:1:pos:R:3 comment="PBE HgSe2O5, relaxed" spacegroup="C2/c (15)" e_tot_ha_per_atom=-0.170 pbc="T T T"
O 4.745 0.728 1.045
O 1.858 0.728 1.510
O 0.017 2.568 3.957
O 3.301 -4.737 1.278
Hg 1.836 1.151 3.833
Se 0.259 4.124 4.603
Se 1.724 -4.124 2.047
O 1.836 4.737 3.833
O 3.656 2.568 3.709
Se 4.879 -4.124 0.508
O 5.121 -2.568 1.154
Hg 3.301 -1.151 1.278
O 3.280 -0.728 3.600
O 0.393 -0.728 4.065
O 1.482 -2.568 1.402
Se 3.413 4.124 3.063

=====

Repeat the tenth record exactly.
16
Lattice="4.034 -5.770 0.000 4.034 5.770 0.000 -2.930 0.000 5.110" Properties=species:S:1:pos:R:3 comment="PBE HgSe2O5, relaxed" spacegroup="C2/c (15)" e_tot_ha_per_atom=-0.170 pbc="T T T"
O 4.745 0.728 1.045
O 1.858 0.728 1.510
O 0.017 2.568 3.957
O 3.301 -4.737 1.278
Hg 1.836 1.151 3.833
Se 0.259 4.124 4.603
Se 1.724 -4.124 2.047
O 1.836 4.737 3.833
O 3.656 2.568 3.709
Se 4.879 -4.124 0.508
O 5.121 -2.568 1.154
Hg 3.301 -1.151 1.278
O 3.280 -0.728 3.600
O 0.393 -0.728 4.065
O 1.482 -2.568 1.402
Se 3.413 4.124 3.063